DFT (PBE-GGA) results for an optimized crystal structure of Co2AgPt2.

Space-group type: P4/mbm (127)
E above lowest polymorph: 0.000 eV/atom

abc: 7.3929 7.3929 2.7119
angles: 90.00 90.00 90.00
Each line ends with the local moment (μB).
Sites, in units of the cell vectors:
Co (0.6167, 0.1167, 0.0000)  1.84
Co (0.1167, 0.3833, 0.0000)  1.92
Co (0.8833, 0.6167, 0.0000)  1.92
Co (0.3833, 0.8833, 0.0000)  1.84
Pt (0.8241, 0.3241, 0.5000)  0.39
Pt (0.6759, 0.8241, 0.5000)  0.39
Pt (0.3241, 0.1759, 0.5000)  0.39
Pt (0.1759, 0.6759, 0.5000)  0.39
Ag (0.5000, 0.5000, 0.0000)  -0.01
Ag (0.0000, 0.0000, 0.0000)  -0.01